{
  "formula": "La2HgPt",
  "functional": "PBEsol",
  "state": "optimized geometry",
  "lattice": [[3.705, 0.000, 0.000], [0.000, 3.705, 0.000], [0.000, 0.000, 7.490]],
  "species": ["La", "La", "Hg", "Pt"],
  "fractional_positions": [[0.000, 0.000, 0.224], [0.000, 0.000, 0.776], [0.500, 0.500, 0.500], [0.500, 0.500, 0.000]],
  "dos_ef_per_ev_atom": 0.863,
  "spacegroup": "No. 123",
  "formation_energy_ev_per_fu": -3.11,
  "magmom_total_mub_per_fu": 0.0
}